# 1
# PBE TaMoAsAu2, optimized geometry
# calculated volume = 128.0 Å³ per cell
# formation enthalpy at 0 K = 584.0 kJ/mol of formula units
# raw total energy = -5.567 eV per atom
# space group = No. 123
data_TaMoAsAu2
_chemical_formula_sum 'Ta1 Mo1 As1 Au2'
_space_group_name_H-M_alt 'P 1'
_space_group_IT_number 1
_space_group_name_Hall 'P 1'
_cell_length_a 5.119
_cell_length_b 5.119
_cell_length_c 4.886
_cell_angle_alpha 90.00
_cell_angle_beta 90.00
_cell_angle_gamma 90.00
loop_
_atom_site_label
_atom_site_type_symbol
_atom_site_fract_x
_atom_site_fract_y
_atom_site_fract_z
Ta1 Ta 0.000 0.000 0.000
Mo1 Mo 0.500 0.500 0.500
As1 As 0.000 0.000 0.500
Au1 Au 0.000 0.500 0.000
Au2 Au 0.500 0.000 0.000


# 2
# PBE TcMo2AsAu, optimized geometry
# calculated volume = 95.6 Å³ per cell
# formation enthalpy at 0 K = 551.5 kJ/mol of formula units
# raw total energy = -6.848 eV per atom
# space group = No. 123
data_TcMo2AsAu
_chemical_formula_sum 'Tc1 Mo2 As1 Au1'
_space_group_name_H-M_alt 'P 1'
_space_group_IT_number 1
_space_group_name_Hall 'P 1'
_cell_length_a 4.598
_cell_length_b 4.598
_cell_length_c 4.522
_cell_angle_alpha 90.00
_cell_angle_beta 90.00
_cell_angle_gamma 90.00
loop_
_atom_site_label
_atom_site_type_symbol
_atom_site_fract_x
_atom_site_fract_y
_atom_site_fract_z
Tc1 Tc 0.000 0.000 0.000
Mo1 Mo 0.000 0.500 0.500
Mo2 Mo 0.500 0.000 0.500
As1 As 0.000 0.000 0.500
Au1 Au 0.500 0.500 0.000


# 3
# PBE TeMo2AsAu, optimized geometry
# calculated volume = 130.7 Å³ per cell
# raw total energy = -4.879 eV per atom
# space group = No. 123
# ΔE_f (raw) = 8.3 eV per formula unit
data_TeMo2AsAu
_chemical_formula_sum 'Te1 Mo2 As1 Au1'
_space_group_name_H-M_alt 'P 1'
_space_group_IT_number 1
_space_group_name_Hall 'P 1'
_cell_length_a 5.079
_cell_length_b 5.079
_cell_length_c 5.067
_cell_angle_alpha 90.00
_cell_angle_beta 90.00
_cell_angle_gamma 90.00
loop_
_atom_site_label
_atom_site_type_symbol
_atom_site_fract_x
_atom_site_fract_y
_atom_site_fract_z
Te1 Te 0.000 0.000 0.000
Mo1 Mo 0.000 0.500 0.000
Mo2 Mo 0.500 0.000 0.000
As1 As 0.500 0.500 0.500
Au1 Au 0.000 0.000 0.500


# 4
# PBE YMoAsAu2, optimized geometry
# calculated volume = 126.2 Å³ per cell
# formation enthalpy at 0 K = 322.9 kJ/mol of formula units
# raw total energy = -5.031 eV per atom
# space group = No. 123
data_YMoAsAu2
_chemical_formula_sum 'Y1 Mo1 As1 Au2'
_space_group_name_H-M_alt 'P 1'
_space_group_IT_number 1
_space_group_name_Hall 'P 1'
_cell_length_a 4.877
_cell_length_b 4.877
_cell_length_c 5.308
_cell_angle_alpha 90.00
_cell_angle_beta 90.00
_cell_angle_gamma 90.00
loop_
_atom_site_label
_atom_site_type_symbol
_atom_site_fract_x
_atom_site_fract_y
_atom_site_fract_z
Y1 Y 0.000 0.000 0.000
Mo1 Mo 0.500 0.500 0.000
As1 As 0.000 0.000 0.500
Au1 Au 0.000 0.500 0.500
Au2 Au 0.500 0.000 0.500


# 5
# PBE AsAuN3, optimized geometry
# calculated volume = 55.9 Å³ per cell
# raw total energy = -4.697 eV per atom
# space group = No. 221
# ΔE_f (raw) = 9.4 eV per formula unit
data_AsAuN3
_chemical_formula_sum 'As1 Au1 N3'
_space_group_name_H-M_alt 'P 1'
_space_group_IT_number 1
_space_group_name_Hall 'P 1'
_cell_length_a 3.824
_cell_length_b 3.824
_cell_length_c 3.824
_cell_angle_alpha 90.00
_cell_angle_beta 90.00
_cell_angle_gamma 90.00
loop_
_atom_site_label
_atom_site_type_symbol
_atom_site_fract_x
_atom_site_fract_y
_atom_site_fract_z
As1 As 0.000 0.000 0.000
Au1 Au 0.500 0.500 0.500
N1 N 0.000 0.000 0.500
N2 N 0.000 0.500 0.000
N3 N 0.500 0.000 0.000


# 6
# PBE AsAu2N2, optimized geometry
# calculated volume = 150.9 Å³ per cell
# offset from the most stable computed form = 461 meV/atom
# raw total energy = -4.410 eV per atom
# space group = No. 127
# ΔE_f (raw) = 5.8 eV per formula unit
data_AsAu2N2
_chemical_formula_sum 'As2 Au4 N4'
_space_group_name_H-M_alt 'P 1'
_space_group_IT_number 1
_space_group_name_Hall 'P 1'
_cell_length_a 6.070
_cell_length_b 6.070
_cell_length_c 4.095
_cell_angle_alpha 90.00
_cell_angle_beta 90.00
_cell_angle_gamma 90.00
loop_
_atom_site_label
_atom_site_type_symbol
_atom_site_fract_x
_atom_site_fract_y
_atom_site_fract_z
As1 As 0.000 0.000 0.000
As2 As 0.500 0.500 0.000
Au1 Au 0.164 0.336 0.500
Au2 Au 0.336 0.836 0.500
Au3 Au 0.664 0.164 0.500
Au4 Au 0.836 0.664 0.500
N1 N 0.205 0.295 0.000
N2 N 0.295 0.795 0.000
N3 N 0.705 0.205 0.000
N4 N 0.795 0.705 0.000


# 7
# PBE AsAuN2, optimized geometry
# calculated volume = 169.6 Å³ per cell
# raw total energy = -4.855 eV per atom
# space group = No. 166
# ΔE_f (raw) = 5.2 eV per formula unit
data_AsAuN2
_chemical_formula_sum 'As3 Au3 N6'
_space_group_name_H-M_alt 'P 1'
_space_group_IT_number 1
_space_group_name_Hall 'P 1'
_cell_length_a 3.222
_cell_length_b 3.222
_cell_length_c 18.861
_cell_angle_alpha 90.00
_cell_angle_beta 90.00
_cell_angle_gamma 120.00
loop_
_atom_site_label
_atom_site_type_symbol
_atom_site_fract_x
_atom_site_fract_y
_atom_site_fract_z
As1 As 0.000 0.000 0.000
As2 As 0.333 0.667 0.667
As3 As 0.667 0.333 0.333
Au1 Au 0.000 0.000 0.500
Au2 Au 0.333 0.667 0.167
Au3 Au 0.667 0.333 0.833
N1 N 0.000 0.000 0.111
N2 N 0.000 0.000 0.889
N3 N 0.333 0.667 0.556
N4 N 0.333 0.667 0.777
N5 N 0.667 0.333 0.223
N6 N 0.667 0.333 0.444


# 8
# PBE AsAuN3, optimized geometry
# calculated volume = 67.0 Å³ per cell
# raw total energy = -4.139 eV per atom
# space group = No. 221
# ΔE_f (raw) = 12.2 eV per formula unit
data_AsAuN3
_chemical_formula_sum 'As1 Au1 N3'
_space_group_name_H-M_alt 'P 1'
_space_group_IT_number 1
_space_group_name_Hall 'P 1'
_cell_length_a 4.062
_cell_length_b 4.062
_cell_length_c 4.062
_cell_angle_alpha 90.00
_cell_angle_beta 90.00
_cell_angle_gamma 90.00
loop_
_atom_site_label
_atom_site_type_symbol
_atom_site_fract_x
_atom_site_fract_y
_atom_site_fract_z
As1 As 0.000 0.000 0.000
Au1 Au 0.500 0.500 0.500
N1 N 0.000 0.500 0.500
N2 N 0.500 0.000 0.500
N3 N 0.500 0.500 0.000


# 9
# PBE AsAuN2, optimized geometry
# calculated volume = 146.5 Å³ per cell
# raw total energy = -5.568 eV per atom
# space group = No. 166
# ΔE_f (raw) = 2.3 eV per formula unit
data_AsAuN2
_chemical_formula_sum 'As3 Au3 N6'
_space_group_name_H-M_alt 'P 1'
_space_group_IT_number 1
_space_group_name_Hall 'P 1'
_cell_length_a 3.011
_cell_length_b 3.011
_cell_length_c 18.652
_cell_angle_alpha 90.00
_cell_angle_beta 90.00
_cell_angle_gamma 120.00
loop_
_atom_site_label
_atom_site_type_symbol
_atom_site_fract_x
_atom_site_fract_y
_atom_site_fract_z
As1 As 0.000 0.000 0.000
As2 As 0.333 0.667 0.667
As3 As 0.667 0.333 0.333
Au1 Au 0.000 0.000 0.500
Au2 Au 0.333 0.667 0.167
Au3 Au 0.667 0.333 0.833
N1 N 0.000 0.000 0.388
N2 N 0.000 0.000 0.612
N3 N 0.333 0.667 0.055
N4 N 0.333 0.667 0.278
N5 N 0.667 0.333 0.722
N6 N 0.667 0.333 0.945


# 10
# PBE AsAu2N, optimized geometry
# calculated volume = 249.5 Å³ per cell
# offset from the most stable computed form = 273 meV/atom
# raw total energy = -3.708 eV per atom
# space group = No. 225
# ΔE_f (raw) = 4.7 eV per formula unit
data_AsAu2N
_chemical_formula_sum 'As4 Au8 N4'
_space_group_name_H-M_alt 'P 1'
_space_group_IT_number 1
_space_group_name_Hall 'P 1'
_cell_length_a 6.295
_cell_length_b 6.295
_cell_length_c 6.295
_cell_angle_alpha 90.00
_cell_angle_beta 90.00
_cell_angle_gamma 90.00
loop_
_atom_site_label
_atom_site_type_symbol
_atom_site_fract_x
_atom_site_fract_y
_atom_site_fract_z
As1 As 0.000 0.000 0.000
As2 As 0.000 0.500 0.500
As3 As 0.500 0.000 0.500
As4 As 0.500 0.500 0.000
Au1 Au 0.250 0.250 0.250
Au2 Au 0.250 0.250 0.750
Au3 Au 0.250 0.750 0.250
Au4 Au 0.250 0.750 0.750
Au5 Au 0.750 0.250 0.250
Au6 Au 0.750 0.250 0.750
Au7 Au 0.750 0.750 0.250
Au8 Au 0.750 0.750 0.750
N1 N 0.000 0.000 0.500
N2 N 0.000 0.500 0.000
N3 N 0.500 0.000 0.000
N4 N 0.500 0.500 0.500


# 11
# PBE AsAu2N2, optimized geometry
# calculated volume = 177.2 Å³ per cell
# offset from the most stable computed form = 0 meV/atom
# raw total energy = -4.871 eV per atom
# space group = No. 139
# ΔE_f (raw) = 3.5 eV per formula unit
data_AsAu2N2
_chemical_formula_sum 'As2 Au4 N4'
_space_group_name_H-M_alt 'P 1'
_space_group_IT_number 1
_space_group_name_Hall 'P 1'
_cell_length_a 5.698
_cell_length_b 5.698
_cell_length_c 5.457
_cell_angle_alpha 90.00
_cell_angle_beta 90.00
_cell_angle_gamma 90.00
loop_
_atom_site_label
_atom_site_type_symbol
_atom_site_fract_x
_atom_site_fract_y
_atom_site_fract_z
As1 As 0.000 0.000 0.000
As2 As 0.500 0.500 0.500
Au1 Au 0.000 0.500 0.250
Au2 Au 0.000 0.500 0.750
Au3 Au 0.500 0.000 0.250
Au4 Au 0.500 0.000 0.750
N1 N 0.000 0.000 0.396
N2 N 0.000 0.000 0.604
N3 N 0.500 0.500 0.104
N4 N 0.500 0.500 0.896


# 12
# PBE AsAu3N, optimized geometry
# calculated volume = 87.7 Å³ per cell
# offset from the most stable computed form = 0 meV/atom
# raw total energy = -3.634 eV per atom
# space group = No. 221
# ΔE_f (raw) = 4.6 eV per formula unit
data_AsAu3N
_chemical_formula_sum 'As1 Au3 N1'
_space_group_name_H-M_alt 'P 1'
_space_group_IT_number 1
_space_group_name_Hall 'P 1'
_cell_length_a 4.442
_cell_length_b 4.442
_cell_length_c 4.442
_cell_angle_alpha 90.00
_cell_angle_beta 90.00
_cell_angle_gamma 90.00
loop_
_atom_site_label
_atom_site_type_symbol
_atom_site_fract_x
_atom_site_fract_y
_atom_site_fract_z
As1 As 0.000 0.000 0.000
Au1 Au 0.000 0.500 0.500
Au2 Au 0.500 0.000 0.500
Au3 Au 0.500 0.500 0.000
N1 N 0.500 0.500 0.500


# 13
# PBE AsAu3N, optimized geometry
# calculated volume = 122.1 Å³ per cell
# offset from the most stable computed form = 351 meV/atom
# raw total energy = -3.283 eV per atom
# space group = No. 221
# ΔE_f (raw) = 6.4 eV per formula unit
data_AsAu3N
_chemical_formula_sum 'As1 Au3 N1'
_space_group_name_H-M_alt 'P 1'
_space_group_IT_number 1
_space_group_name_Hall 'P 1'
_cell_length_a 4.961
_cell_length_b 4.961
_cell_length_c 4.961
_cell_angle_alpha 90.00
_cell_angle_beta 90.00
_cell_angle_gamma 90.00
loop_
_atom_site_label
_atom_site_type_symbol
_atom_site_fract_x
_atom_site_fract_y
_atom_site_fract_z
As1 As 0.000 0.000 0.000
Au1 Au 0.000 0.000 0.500
Au2 Au 0.000 0.500 0.000
Au3 Au 0.500 0.000 0.000
N1 N 0.500 0.500 0.500


# 14
# PBE AsAuN2, optimized geometry
# calculated volume = 217.2 Å³ per cell
# raw total energy = -5.288 eV per atom
# space group = No. 122
# ΔE_f (raw) = 3.4 eV per formula unit
data_AsAuN2
_chemical_formula_sum 'As4 Au4 N8'
_space_group_name_H-M_alt 'P 1'
_space_group_IT_number 1
_space_group_name_Hall 'P 1'
_cell_length_a 5.078
_cell_length_b 5.078
_cell_length_c 8.425
_cell_angle_alpha 90.00
_cell_angle_beta 90.00
_cell_angle_gamma 90.00
loop_
_atom_site_label
_atom_site_type_symbol
_atom_site_fract_x
_atom_site_fract_y
_atom_site_fract_z
As1 As 0.000 0.000 0.000
As2 As 0.000 0.500 0.250
As3 As 0.500 0.000 0.750
As4 As 0.500 0.500 0.500
Au1 Au 0.000 0.000 0.500
Au2 Au 0.000 0.500 0.750
Au3 Au 0.500 0.000 0.250
Au4 Au 0.500 0.500 0.000
N1 N 0.165 0.250 0.125
N2 N 0.250 0.665 0.375
N3 N 0.250 0.835 0.875
N4 N 0.335 0.250 0.625
N5 N 0.665 0.750 0.625
N6 N 0.750 0.165 0.875
N7 N 0.750 0.335 0.375
N8 N 0.835 0.750 0.125


# 15
# PBE AsAu2N, optimized geometry
# calculated volume = 298.0 Å³ per cell
# offset from the most stable computed form = 0 meV/atom
# raw total energy = -3.980 eV per atom
# space group = No. 122
# ΔE_f (raw) = 3.6 eV per formula unit
data_AsAu2N
_chemical_formula_sum 'As4 Au8 N4'
_space_group_name_H-M_alt 'P 1'
_space_group_IT_number 1
_space_group_name_Hall 'P 1'
_cell_length_a 5.963
_cell_length_b 5.963
_cell_length_c 8.380
_cell_angle_alpha 90.00
_cell_angle_beta 90.00
_cell_angle_gamma 90.00
loop_
_atom_site_label
_atom_site_type_symbol
_atom_site_fract_x
_atom_site_fract_y
_atom_site_fract_z
As1 As 0.000 0.000 0.000
As2 As 0.000 0.500 0.250
As3 As 0.500 0.000 0.750
As4 As 0.500 0.500 0.500
Au1 Au 0.192 0.750 0.625
Au2 Au 0.250 0.192 0.375
Au3 Au 0.250 0.308 0.875
Au4 Au 0.308 0.750 0.125
Au5 Au 0.692 0.250 0.125
Au6 Au 0.750 0.692 0.875
Au7 Au 0.750 0.808 0.375
Au8 Au 0.808 0.250 0.625
N1 N 0.000 0.000 0.500
N2 N 0.000 0.500 0.750
N3 N 0.500 0.000 0.250
N4 N 0.500 0.500 0.000


# 16
# PBE NbAs2AuN, optimized geometry
# calculated volume = 98.3 Å³ per cell
# raw total energy = -4.852 eV per atom
# space group = No. 123
# ΔE_f (raw) = 6.7 eV per formula unit
data_NbAs2AuN
_chemical_formula_sum 'Nb1 As2 Au1 N1'
_space_group_name_H-M_alt 'P 1'
_space_group_IT_number 1
_space_group_name_Hall 'P 1'
_cell_length_a 5.137
_cell_length_b 5.137
_cell_length_c 3.724
_cell_angle_alpha 90.00
_cell_angle_beta 90.00
_cell_angle_gamma 90.00
loop_
_atom_site_label
_atom_site_type_symbol
_atom_site_fract_x
_atom_site_fract_y
_atom_site_fract_z
Nb1 Nb 0.000 0.000 0.000
As1 As 0.000 0.500 0.500
As2 As 0.500 0.000 0.500
Au1 Au 0.500 0.500 0.500
N1 N 0.500 0.500 0.000


# 17
# PBE AsAuNO2, optimized geometry
# calculated volume = 66.3 Å³ per cell
# raw total energy = -4.106 eV per atom
# space group = No. 123
# ΔE_f (raw) = 5.6 eV per formula unit
data_AsAuNO2
_chemical_formula_sum 'As1 Au1 N1 O2'
_space_group_name_H-M_alt 'P 1'
_space_group_IT_number 1
_space_group_name_Hall 'P 1'
_cell_length_a 4.035
_cell_length_b 4.035
_cell_length_c 4.074
_cell_angle_alpha 90.00
_cell_angle_beta 90.00
_cell_angle_gamma 90.00
loop_
_atom_site_label
_atom_site_type_symbol
_atom_site_fract_x
_atom_site_fract_y
_atom_site_fract_z
As1 As 0.000 0.000 0.000
Au1 Au 0.500 0.500 0.500
N1 N 0.500 0.500 0.000
O1 O 0.000 0.500 0.500
O2 O 0.500 0.000 0.500


# 18
# PBE AsAuNO2, optimized geometry
# calculated volume = 56.5 Å³ per cell
# raw total energy = -4.747 eV per atom
# space group = No. 123
# ΔE_f (raw) = 2.4 eV per formula unit
data_AsAuNO2
_chemical_formula_sum 'As1 Au1 N1 O2'
_space_group_name_H-M_alt 'P 1'
_space_group_IT_number 1
_space_group_name_Hall 'P 1'
_cell_length_a 3.630
_cell_length_b 3.630
_cell_length_c 4.288
_cell_angle_alpha 90.00
_cell_angle_beta 90.00
_cell_angle_gamma 90.00
loop_
_atom_site_label
_atom_site_type_symbol
_atom_site_fract_x
_atom_site_fract_y
_atom_site_fract_z
As1 As 0.000 0.000 0.000
Au1 Au 0.500 0.500 0.500
N1 N 0.000 0.000 0.500
O1 O 0.000 0.500 0.000
O2 O 0.500 0.000 0.000


# 19
# PBE Pa2As2AuN2, optimized geometry
# calculated volume = 151.8 Å³ per cell
# raw total energy = -7.788 eV per atom
# space group = No. 164
# ΔE_f (raw) = -6.3 eV per formula unit
data_Pa2As2AuN2
_chemical_formula_sum 'Pa2 As2 Au1 N2'
_space_group_name_H-M_alt 'P 1'
_space_group_IT_number 1
_space_group_name_Hall 'P 1'
_cell_length_a 3.890
_cell_length_b 3.890
_cell_length_c 11.584
_cell_angle_alpha 90.00
_cell_angle_beta 90.00
_cell_angle_gamma 120.00
loop_
_atom_site_label
_atom_site_type_symbol
_atom_site_fract_x
_atom_site_fract_y
_atom_site_fract_z
Pa1 Pa 0.333 0.667 0.127
Pa2 Pa 0.667 0.333 0.873
As1 As 0.000 0.000 0.292
As2 As 0.000 0.000 0.708
Au1 Au 0.000 0.000 0.500
N1 N 0.333 0.667 0.927
N2 N 0.667 0.333 0.073


# 20
# PBE AsPbAuN2, optimized geometry
# calculated volume = 109.5 Å³ per cell
# raw total energy = -3.798 eV per atom
# space group = No. 123
# ΔE_f (raw) = 9.3 eV per formula unit
data_AsPbAuN2
_chemical_formula_sum 'As1 Pb1 Au1 N2'
_space_group_name_H-M_alt 'P 1'
_space_group_IT_number 1
_space_group_name_Hall 'P 1'
_cell_length_a 4.283
_cell_length_b 4.283
_cell_length_c 5.967
_cell_angle_alpha 90.00
_cell_angle_beta 90.00
_cell_angle_gamma 90.00
loop_
_atom_site_label
_atom_site_type_symbol
_atom_site_fract_x
_atom_site_fract_y
_atom_site_fract_z
As1 As 0.000 0.000 0.000
Pb1 Pb 0.000 0.000 0.500
Au1 Au 0.500 0.500 0.000
N1 N 0.000 0.500 0.500
N2 N 0.500 0.000 0.500